Record 1
The following is a PBE calculation of an optimized crystal structure of CrGeSN2, from the Alexandria database.

Computed properties:
energy relative to the elements, uncorrected = 2.125 eV/f.u.
space-group type = P4/mmm

a = 3.682 Å, b = 3.682 Å, c = 4.956 Å
α = 90.00°, β = 90.00°, γ = 90.00°
Atoms (fractional coordinates):
N  0.000  0.500  0.000
S  0.000  0.000  0.500
Cr  0.000  0.000  0.000
Ge  0.500  0.500  0.500
N  0.500  0.000  0.000

Record 2
The following is a PBE calculation of an optimized crystal structure of CrGeS2N, from the Alexandria database.

Computed properties:
energy relative to the elements, uncorrected = 0.630 eV/f.u.
space-group type = P4/mmm

a = 4.755 Å, b = 4.755 Å, c = 3.541 Å
α = 90.00°, β = 90.00°, γ = 90.00°
Atoms (fractional coordinates):
Cr  0.000  0.000  0.000
S  0.500  0.000  0.000
Ge  0.500  0.500  0.500
N  0.000  0.000  0.500
S  0.000  0.500  0.000

Record 3
The following is a PBE calculation of an optimized crystal structure of CrGeSN2, from the Alexandria database.

Computed properties:
energy relative to the elements, uncorrected = 5.044 eV/f.u.
space-group type = P4/mmm

a = 3.725 Å, b = 3.725 Å, c = 5.065 Å
α = 90.00°, β = 90.00°, γ = 90.00°
Atoms (fractional coordinates):
N  0.500  0.000  0.000
Cr  0.500  0.500  0.500
Ge  0.000  0.000  0.000
N  0.000  0.500  0.000
S  0.000  0.000  0.500

Record 4
The following is a PBE calculation of an optimized crystal structure of CrGeS2N, from the Alexandria database.

Computed properties:
energy relative to the elements, uncorrected = 5.530 eV/f.u.
space-group type = P4/mmm

a = 4.806 Å, b = 4.806 Å, c = 3.520 Å
α = 90.00°, β = 90.00°, γ = 90.00°
Atoms (fractional coordinates):
Ge  0.000  0.000  0.000
S  0.500  0.000  0.000
N  0.000  0.000  0.500
S  0.000  0.500  0.000
Cr  0.500  0.500  0.500

Record 5
The following is a PBE calculation of an optimized crystal structure of CrGeSe2N, from the Alexandria database.

Computed properties:
energy relative to the elements, uncorrected = 3.534 eV/f.u.
space-group type = P4/mmm

a = 5.151 Å, b = 5.151 Å, c = 3.561 Å
α = 90.00°, β = 90.00°, γ = 90.00°
Atoms (fractional coordinates):
Se  0.000  0.500  0.000
Cr  0.500  0.500  0.500
N  0.000  0.000  0.500
Ge  0.000  0.000  0.000
Se  0.500  0.000  0.000

Record 6
The following is a PBE calculation of an optimized crystal structure of CrGeSe2N, from the Alexandria database.

Computed properties:
energy relative to the elements, uncorrected = 0.644 eV/f.u.
space-group type = P4/mmm

a = 5.050 Å, b = 5.050 Å, c = 3.547 Å
α = 90.00°, β = 90.00°, γ = 90.00°
Atoms (fractional coordinates):
Ge  0.500  0.500  0.500
Se  0.000  0.500  0.000
Cr  0.000  0.000  0.000
N  0.000  0.000  0.500
Se  0.500  0.000  0.000

Record 7
The following is a PBE calculation of an optimized crystal structure of Cr2TcGeN, from the Alexandria database.

Computed properties:
energy relative to the elements, uncorrected = -0.726 eV/f.u.
space-group type = P4/mmm

a = 3.854 Å, b = 3.854 Å, c = 4.075 Å
α = 90.00°, β = 90.00°, γ = 90.00°
Atoms (fractional coordinates):
Ge  0.500  0.500  0.500
Cr  0.000  0.500  0.000
N  0.000  0.000  0.000
Cr  0.500  0.000  0.000
Tc  0.000  0.000  0.500

Record 8
The following is a PBE calculation of an optimized crystal structure of CrGeTeN2, from the Alexandria database.

Computed properties:
energy relative to the elements, uncorrected = 3.444 eV/f.u.
space-group type = P4/mmm

a = 3.852 Å, b = 3.852 Å, c = 5.529 Å
α = 90.00°, β = 90.00°, γ = 90.00°
Atoms (fractional coordinates):
Cr  0.000  0.000  0.000
Te  0.000  0.000  0.500
N  0.000  0.500  0.000
Ge  0.500  0.500  0.500
N  0.500  0.000  0.000

Record 9
The following is a PBE calculation of an optimized crystal structure of CrGeTe2N, from the Alexandria database.

Computed properties:
energy relative to the elements, uncorrected = 1.031 eV/f.u.
space-group type = P4/mmm

a = 5.439 Å, b = 5.439 Å, c = 3.545 Å
α = 90.00°, β = 90.00°, γ = 90.00°
Atoms (fractional coordinates):
N  0.000  0.000  0.500
Cr  0.000  0.000  0.000
Te  0.500  0.000  0.000
Ge  0.500  0.500  0.500
Te  0.000  0.500  0.000

Record 10
The following is a PBE calculation of an optimized crystal structure of CrGeTe2N, from the Alexandria database.

Computed properties:
energy relative to the elements, uncorrected = 3.773 eV/f.u.
space-group type = P4/mmm

a = 5.652 Å, b = 5.652 Å, c = 3.507 Å
α = 90.00°, β = 90.00°, γ = 90.00°
Atoms (fractional coordinates):
Te  0.000  0.500  0.000
Cr  0.500  0.500  0.500
Te  0.500  0.000  0.000
N  0.000  0.000  0.500
Ge  0.000  0.000  0.000

Record 11
The following is a PBE calculation of an optimized crystal structure of CrGeTeN2, from the Alexandria database.

Computed properties:
energy relative to the elements, uncorrected = 6.047 eV/f.u.
space-group type = P4/mmm

a = 3.742 Å, b = 3.742 Å, c = 6.879 Å
α = 90.00°, β = 90.00°, γ = 90.00°
Atoms (fractional coordinates):
Te  0.000  0.000  0.500
N  0.000  0.500  0.000
N  0.500  0.000  0.000
Cr  0.500  0.500  0.500
Ge  0.000  0.000  0.000

Record 12
The following is a PBE calculation of an optimized crystal structure of V2CrGeN, from the Alexandria database.

Computed properties:
energy relative to the elements, uncorrected = -2.353 eV/f.u.
space-group type = P4/mmm

a = 3.920 Å, b = 3.920 Å, c = 3.851 Å
α = 90.00°, β = 90.00°, γ = 90.00°
Atoms (fractional coordinates):
V  0.500  0.000  0.000
V  0.000  0.500  0.000
Ge  0.500  0.500  0.500
N  0.000  0.000  0.000
Cr  0.000  0.000  0.500

Among the records above, which one has the lowest energy relative to the elements, uncorrected?
V2CrGeN

Copy entry 11 word for word.
The following is a PBE calculation of an optimized crystal structure of CrGeTeN2, from the Alexandria database.

Computed properties:
energy relative to the elements, uncorrected = 6.047 eV/f.u.
space-group type = P4/mmm

a = 3.742 Å, b = 3.742 Å, c = 6.879 Å
α = 90.00°, β = 90.00°, γ = 90.00°
Atoms (fractional coordinates):
Te  0.000  0.000  0.500
N  0.000  0.500  0.000
N  0.500  0.000  0.000
Cr  0.500  0.500  0.500
Ge  0.000  0.000  0.000

Number 3 is which compound?
CrGeSN2